Entry from Alexandria: a geometry-optimized Zn2CoNiO structure (GGA+U).

Cell lengths 4.5065, 4.2973, 4.5065 Å; angles 90.00, 90.00, 90.00 degrees
With the nearest neighbours (Å) after each atom.
Element x y z (fractional)
Ni 0.0000 0.5000 0.0000  2 Co 2.15
Zn 0.0000 0.0000 0.5000  2 Co 2.25
Zn 0.5000 0.0000 0.0000  2 Co 2.25
Co 0.0000 0.0000 0.0000  2 Ni 2.15, 4 Zn 2.25
O 0.5000 0.5000 0.5000  8 Zn 3.11, 4 Ni 3.19

Computed properties:
Energy: -1.8083 eV/atom
Space group: P4/mmm
Fermi-level density of states: 2.783 states/eV/f.u.